1.
Material: Pm4Nd5Co2
Method: DFT, GGA-PBE
State: relaxed

The calculated volume comes out at 30.4 A^3/atom. Its density of states at the Fermi level is 16.26 states/eV per cell. The value obtained for the theoretical density is 7.04 Mg/m³. For the energy relative to the elements, the calculation gives 0.050 eV per atom.

The structure in POSCAR format:
```
Pm4Nd5Co2
1.0
9.0934 0.0000 0.0000
0.0000 3.6346 0.0000
-0.6185 0.0000 10.1277
Pm Nd Co
4 5 2
Direct
0.1757 0.0000 0.3195
0.1839 0.0000 0.9661
0.8161 0.0000 0.0339
0.8243 0.0000 0.6805
0.1571 0.5000 0.6502
0.4711 0.5000 0.1665
0.5000 0.5000 0.5000
0.5289 0.5000 0.8335
0.8429 0.5000 0.3498
0.0401 0.5000 0.1428
0.9599 0.5000 0.8572
```



2.
Material: Dy6Cd3Ir
Method: DFT, GGA-PBE
State: relaxed

The calculated volume comes out at 26.0 A^3/atom. Its density of states at the Fermi level is 15.19 states/eV per cell. The value obtained for the theoretical density is 9.60 Mg/m³. For the energy relative to the elements, the calculation gives -0.356 eV per atom.

The structure in POSCAR format:
```
Dy6Cd3Ir
1.0
9.1006 0.0000 0.0000
0.0000 5.2590 0.0000
-3.6868 0.0000 10.8728
Dy Cd Ir
12 6 2
Direct
0.0334 0.2500 0.4152
0.1862 0.7500 0.1644
0.2783 0.2500 0.0019
0.3509 0.7500 0.8321
0.3750 0.2500 0.3491
0.3911 0.2500 0.6480
0.6089 0.7500 0.3520
0.6250 0.7500 0.6509
0.6491 0.2500 0.1679
0.7217 0.7500 0.9981
0.8138 0.2500 0.8356
0.9666 0.7500 0.5848
0.0094 0.7500 0.8694
0.0850 0.2500 0.7193
0.2706 0.7500 0.4737
0.7294 0.2500 0.5263
0.9150 0.7500 0.2807
0.9906 0.2500 0.1306
0.4585 0.7500 0.0951
0.5415 0.2500 0.9049
```



3.
Material: Ca2Al5Ga2
Method: DFT, GGA-PBE
State: relaxed

The calculated volume comes out at 20.1 A^3/atom. Its density of states at the Fermi level is 3.42 states/eV per cell. The value obtained for the theoretical density is 3.25 Mg/m³. For the energy relative to the elements, the calculation gives -0.236 eV per atom.

The structure in POSCAR format:
```
Ca2Al5Ga2
1.0
4.2097 0.0000 0.0000
0.0000 4.2097 0.0000
0.0000 0.0000 10.2144
Ca Al Ga
2 5 2
Direct
0.0000 0.0000 0.0000
0.0000 0.0000 0.5000
0.0000 0.5000 0.2211
0.0000 0.5000 0.7789
0.5000 0.0000 0.2211
0.5000 0.0000 0.7789
0.5000 0.5000 0.0000
0.5000 0.5000 0.3796
0.5000 0.5000 0.6204
```



4.
Material: K5Fe
Method: DFT, GGA-PBE
State: relaxed

The value obtained for the distance to the lowest polymorph of the same formula is 216 meV/atom. The calculated volume comes out at 68.5 A^3/atom. Its density of states at the Fermi level is 11.56 states/eV per cell. The value obtained for the theoretical density is 1.02 Mg/m³. For the energy relative to the elements, the calculation gives 0.768 eV per atom.

The structure in POSCAR format:
```
K5Fe
1.0
7.9113 0.0000 0.0000
-3.9557 6.8514 0.0000
0.0000 0.0000 7.5805
K Fe
5 1
Direct
0.0000 0.5000 0.0000
0.3333 0.6667 0.5000
0.5000 0.0000 0.0000
0.5000 0.5000 0.0000
0.6667 0.3333 0.5000
0.0000 0.0000 0.5000
```



5.
Material: AlZnP2
Method: DFT, GGA-PBE
State: relaxed

The value obtained for the distance to the lowest polymorph of the same formula is 216 meV/atom. The calculated volume comes out at 16.6 A^3/atom. Its density of states at the Fermi level is 1.15 states/eV per cell. The value obtained for the theoretical density is 3.86 Mg/m³. For the energy relative to the elements, the calculation gives -0.008 eV per atom.

The structure in POSCAR format:
```
AlZnP2
1.0
5.4722 -1.7501 0.0000
5.4722 1.7501 0.0000
-0.8944 0.0000 3.4654
Al Zn P
1 1 2
Direct
0.0000 0.0000 0.0000
0.7095 0.7095 0.6072
0.2361 0.2361 0.1183
0.4610 0.4610 0.4698
```



6.
Material: Li6TiN4
Method: DFT, GGA-PBE
State: relaxed

The calculated volume comes out at 10.2 A^3/atom. Its density of states at the Fermi level is 7.87 states/eV per cell. The value obtained for the theoretical density is 2.15 Mg/m³. The value obtained for the uncorrected formation energy is -6.228 eV/f.u.

The structure in POSCAR format:
```
Li6TiN4
1.0
6.7679 0.0000 0.0000
0.0000 6.7679 0.0000
0.0000 0.0000 4.9084
Li Ti N
12 2 8
Direct
0.0394 0.5394 0.2500
0.0394 0.9606 0.2500
0.2500 0.2500 0.1704
0.2500 0.2500 0.6704
0.4606 0.5394 0.2500
0.4606 0.9606 0.2500
0.5394 0.0394 0.7500
0.5394 0.4606 0.7500
0.7500 0.7500 0.3296
0.7500 0.7500 0.8296
0.9606 0.0394 0.7500
0.9606 0.4606 0.7500
0.2500 0.7500 0.7500
0.7500 0.2500 0.2500
0.0029 0.7500 0.5540
0.2500 0.5029 0.9460
0.2500 0.9971 0.9460
0.4971 0.7500 0.5540
0.5029 0.2500 0.4460
0.7500 0.0029 0.0540
0.7500 0.4971 0.0540
0.9971 0.2500 0.4460
```



7.
Material: La2PrCd2Ag2
Method: DFT, GGA-PBE
State: relaxed

The calculated volume comes out at 27.8 A^3/atom. Its density of states at the Fermi level is 7.32 states/eV per cell. The value obtained for the theoretical density is 7.34 Mg/m³. For the energy relative to the elements, the calculation gives -0.220 eV per atom.

The structure in POSCAR format:
```
La2PrCd2Ag2
1.0
2.4894 1.4373 9.0562
-2.4894 1.4373 9.0562
0.0000 -2.8746 9.0562
La Pr Cd Ag
2 1 2 2
Direct
0.1249 0.1249 0.1249
0.8751 0.8751 0.8751
0.0000 0.0000 0.0000
0.2661 0.2661 0.2661
0.7339 0.7339 0.7339
0.3969 0.3969 0.3969
0.6031 0.6031 0.6031
```



8.
Material: In3Ga2Pb2
Method: DFT, GGA-PBE
State: relaxed

The value obtained for the distance to the lowest polymorph of the same formula is 5 meV/atom. The calculated volume comes out at 26.7 A^3/atom. Its density of states at the Fermi level is 2.55 states/eV per cell. The value obtained for the theoretical density is 7.99 Mg/m³. For the energy relative to the elements, the calculation gives 0.045 eV per atom.

The structure in POSCAR format:
```
In3Ga2Pb2
1.0
5.6924 -2.6902 0.0000
5.6924 2.6902 0.0000
-0.4955 0.0000 6.0941
In Ga Pb
3 2 2
Direct
0.0000 0.0000 0.0000
0.3075 0.3075 0.1015
0.6925 0.6925 0.8985
0.4433 0.4433 0.6973
0.5567 0.5567 0.3027
0.1534 0.1534 0.5483
0.8466 0.8466 0.4517
```